Record 1
A plane-wave DFT calculation with GGA-PBE was carried out for a relaxed structure of NaGaCuNi.

The offset from the most stable computed form is 157 meV per atom.

a b c (Å): 3.9781 2.7372 13.9690
angles (deg): 90.00 105.38 90.00
Last column: nearest neighbours and their distance in Å.
Positions (direct):
1 Na 0.5174 0.0000 0.6385  2 Na 2.74, 2 Ni 2.90
2 Na 0.5174 0.5000 0.1385  2 Na 2.74, 2 Ni 2.90
3 Ga 0.1752 0.0000 0.3030  2 Ni 2.39
4 Ga 0.1752 0.5000 0.8030  2 Ni 2.39
5 Cu 0.8152 0.0000 0.4469  4 Ni 2.41-2.42
6 Cu 0.8152 0.5000 0.9469  4 Ni 2.41-2.42
7 Ni 0.3169 0.0000 0.9484  2 Ga 2.39, 4 Cu 2.41-2.42
8 Ni 0.3169 0.5000 0.4484  2 Ga 2.39, 4 Cu 2.41-2.42

=====

Record 2
A plane-wave DFT calculation with GGA-PBE was carried out for a relaxed structure of NdHg5Pd.

The total energy comes out at -1.94 eV per atom.

a b c (Å): 4.8823 4.8823 7.2581
angles (deg): 90.00 90.00 90.00
Last column: nearest neighbours and their distance in Å.
Positions (direct):
1 Nd 0.0000 0.0000 0.0000  12 Hg 3.25-3.45, 2 Pd 3.63
2 Hg 0.5000 0.0000 0.7054  2 Pd 2.86, 1 Hg 2.98
3 Hg 0.0000 0.5000 0.7054  2 Pd 2.86, 1 Hg 2.98
4 Hg 0.5000 0.5000 0.0000  8 Hg 3.25, 4 Nd 3.45
5 Hg 0.0000 0.5000 0.2946  2 Pd 2.86, 1 Hg 2.98
6 Hg 0.5000 0.0000 0.2946  2 Pd 2.86, 1 Hg 2.98
7 Pd 0.0000 0.0000 0.5000  8 Hg 2.86